A plane-wave DFT calculation with GGA-PBE was carried out for an optimized crystal structure of Ca2InGe.

```
data_Ca2InGe
_chemical_formula_sum 'Ca2 In1 Ge1'
_symmetry_space_group_name_H-M 'P 4/m m m'
_symmetry_Int_Tables_number 123
_symmetry_space_group_name_Hall '-P 4 2'
_cell_length_a 3.7580
_cell_length_b 3.7580
_cell_length_c 7.4615
_cell_angle_alpha 90.00
_cell_angle_beta 90.00
_cell_angle_gamma 90.00
loop_
_atom_site_label
_atom_site_type_symbol
_atom_site_fract_x
_atom_site_fract_y
_atom_site_fract_z
Ca1 Ca 0.0000 0.0000 0.2328
In1 In 0.5000 0.5000 0.5000
Ge1 Ge 0.5000 0.5000 0.0000
```

final energy = -13.29 eV/f.u.
calculated formation energy = -0.48 eV/atom